[1]
Density functional theory data (PBE) for an optimized crystal structure of Sc2NbP.

Computed properties:
Fermi-level density of states: 3.9 states/eV per cell
Magnetization: 0.83 μB per formula unit
Energy of formation from the pure elements: -0.100 eV per atom

Cell lengths 9.035, 9.035, 9.035 Å; angles 21.31, 21.31, 21.31 degrees
Atoms (fractional coordinates):
Sc  0.105  0.105  0.105
Sc  0.895  0.895  0.895
Nb  0.000  0.000  0.000
P  0.500  0.500  0.500

=====

[2]
Density functional theory data (PBE) for an optimized crystal structure of La6Nd3Th.

Computed properties:
Fermi-level density of states: 36.5 states/eV per cell
Magnetization: 0.00 μB per formula unit
Energy of formation from the pure elements: 0.036 eV per atom

Cell lengths 3.718, 6.373, 30.087 Å; angles 90.00, 90.08, 90.00 degrees
Atoms (fractional coordinates):
La  0.000  0.165  0.199
La  0.000  0.335  0.699
La  0.000  0.665  0.301
La  0.000  0.835  0.801
La  0.001  0.164  0.900
La  0.001  0.336  0.400
La  0.496  0.154  0.597
La  0.496  0.346  0.097
La  0.504  0.654  0.903
La  0.504  0.846  0.403
La  0.999  0.664  0.600
La  0.999  0.836  0.100
Nd  0.496  0.162  0.301
Nd  0.496  0.338  0.801
Nd  0.500  0.000  0.000
Nd  0.500  0.500  0.500
Nd  0.504  0.662  0.199
Nd  0.504  0.838  0.699
Th  0.000  0.000  0.500
Th  0.000  0.500  0.000

=====

[3]
Density functional theory data (PBE) for an optimized crystal structure of Ce2AlC.

Computed properties:
Fermi-level density of states: 7.5 states/eV per cell
Magnetization: 0.00 μB per formula unit
Energy of formation from the pure elements: -0.111 eV per atom

Cell lengths 8.310, 8.310, 8.310 Å; angles 24.61, 24.61, 24.61 degrees
Atoms (fractional coordinates):
Ce  0.227  0.227  0.227
Ce  0.773  0.773  0.773
Al  0.000  0.000  0.000
C  0.500  0.500  0.500

=====

[4]
Density functional theory data (PBE) for an optimized crystal structure of Cs2LiTl.

Computed properties:
Fermi-level density of states: 4.4 states/eV per cell
Polymorph energy (0 for the lowest one): 0 meV per atom
Magnetization: 1.28 μB per formula unit
Energy of formation from the pure elements: 0.178 eV per atom

Cell lengths 6.783, 6.783, 6.783 Å; angles 60.00, 60.00, 60.00 degrees
Atoms (fractional coordinates):
Cs  0.250  0.250  0.250
Cs  0.750  0.750  0.750
Li  0.000  0.000  0.000
Tl  0.500  0.500  0.500

=====

[5]
Density functional theory data (PBE) for an optimized crystal structure of ErLuCuPb.

Computed properties:
Fermi-level density of states: 3.6 states/eV per cell
Magnetization: 0.01 μB per formula unit
Energy of formation from the pure elements: -0.259 eV per atom

Cell lengths 5.128, 5.128, 5.128 Å; angles 60.00, 60.00, 60.00 degrees
Atoms (fractional coordinates):
Er  0.000  0.000  0.000
Lu  0.500  0.500  0.500
Cu  0.750  0.750  0.750
Pb  0.250  0.250  0.250

=====

[6]
Density functional theory data (PBE) for an optimized crystal structure of CeIn6Pd6.

Computed properties:
Fermi-level density of states: 13.3 states/eV per cell
Magnetization: 1.12 μB per formula unit
Energy of formation from the pure elements: -0.514 eV per atom

Cell lengths 7.316, 7.316, 7.316 Å; angles 134.72, 101.39, 95.67 degrees
Atoms (fractional coordinates):
Ce  0.000  0.000  0.000
In  0.180  0.680  0.500
In  0.339  0.000  0.339
In  0.342  0.342  0.000
In  0.658  0.658  0.000
In  0.661  0.000  0.661
In  0.820  0.320  0.500
Pd  0.000  0.000  0.500
Pd  0.000  0.500  0.000
Pd  0.238  0.500  0.738
Pd  0.500  0.000  0.000
Pd  0.500  0.500  0.500
Pd  0.762  0.500  0.262

=====

[7]
Density functional theory data (PBE) for an optimized crystal structure of KLiTe3.

Computed properties:
Formation energy (no corrections): 44.13 kJ/mol of atoms
Fermi-level density of states: 7.1 states/eV per cell
Polymorph energy (0 for the lowest one): 758 meV per atom
Magnetization: 0.00 μB per formula unit

Cell lengths 6.064, 6.064, 6.064 Å; angles 90.00, 90.00, 90.00 degrees
Atoms (fractional coordinates):
K  0.000  0.000  0.000
Li  0.500  0.500  0.500
Te  0.000  0.000  0.500
Te  0.000  0.500  0.000
Te  0.500  0.000  0.000

=====

[8]
Density functional theory data (PBE) for an optimized crystal structure of Ca2AcSm.

Computed properties:
Fermi-level density of states: 5.4 states/eV per cell
Polymorph energy (0 for the lowest one): 63 meV per atom
Magnetization: 0.00 μB per formula unit
Energy of formation from the pure elements: 0.096 eV per atom

Cell lengths 4.291, 4.291, 8.654 Å; angles 90.00, 90.00, 90.00 degrees
Atoms (fractional coordinates):
Ca  0.000  0.000  0.233
Ca  0.000  0.000  0.767
Ac  0.500  0.500  0.500
Sm  0.500  0.500  0.000

=====

[9]
Density functional theory data (PBE) for an optimized crystal structure of Pu8TcPd5.

Computed properties:
Fermi-level density of states: 65.3 states/eV per cell
Magnetization: 43.21 μB per formula unit
Energy of formation from the pure elements: -0.231 eV per atom

Cell lengths 7.493, 7.493, 7.493 Å; angles 109.80, 109.80, 108.82 degrees
Atoms (fractional coordinates):
Pu  0.120  0.391  0.113
Pu  0.126  0.385  0.606
Pu  0.277  0.007  0.887
Pu  0.479  0.874  0.259
Pu  0.609  0.723  0.730
Pu  0.615  0.221  0.741
Pu  0.779  0.521  0.394
Pu  0.993  0.880  0.270
Tc  0.250  0.750  0.500
Pd  0.372  0.247  0.358
Pd  0.500  0.500  0.000
Pd  0.753  0.111  0.125
Pd  0.889  0.014  0.642
Pd  0.986  0.628  0.875

=====

[10]
Density functional theory data (PBE) for an optimized crystal structure of MnAgCl2.

Computed properties:
Formation energy (no corrections): -37.15 kJ/mol of atoms
Fermi-level density of states: 3.0 states/eV per cell
Polymorph energy (0 for the lowest one): 93 meV per atom
Magnetization: 4.15 μB per formula unit

Cell lengths 8.101, 8.101, 8.101 Å; angles 26.12, 26.12, 26.12 degrees
Atoms (fractional coordinates):
Mn  0.000  0.000  0.000
Ag  0.743  0.743  0.743
Cl  0.279  0.279  0.279
Cl  0.474  0.474  0.474

=====

[11]
Density functional theory data (PBE) for an optimized crystal structure of SrScAs.

Computed properties:
Fermi-level density of states: 5.7 states/eV per cell
Magnetization: 1.87 μB per formula unit
Energy of formation from the pure elements: 0.331 eV per atom

Cell lengths 5.099, 5.099, 5.099 Å; angles 60.00, 60.00, 60.00 degrees
Atoms (fractional coordinates):
Sr  0.000  0.000  0.000
Sc  0.250  0.250  0.250
As  0.750  0.750  0.750

=====

[12]
Density functional theory data (PBE) for an optimized crystal structure of Ca2HgTe.

Computed properties:
Formation energy (no corrections): -77.46 kJ/mol of atoms
Fermi-level density of states: 1.5 states/eV per cell
Polymorph energy (0 for the lowest one): 141 meV per atom
Magnetization: 0.00 μB per formula unit

Cell lengths 5.773, 5.773, 5.773 Å; angles 128.50, 128.07, 76.16 degrees
Atoms (fractional coordinates):
Ca  0.250  0.250  0.000
Ca  0.750  0.750  0.000
Hg  0.500  0.000  0.500
Te  0.000  0.500  0.500

=====

The highest magnetization belongs to which entry? Pu8TcPd5